[1]
Below is crystalline UPd3Pt4 at its relaxed geometry, with properties calculated at the PBE level.

Computed properties:
Space group: Pmma (51)

a b c (Å): 9.3315 5.7362 4.9530
angles (deg): 90.00 90.00 90.00
With the nearest neighbours (Å) after each atom.
Sites, in units of the cell vectors:
U1 0.0000 0.0000 0.0000  8 Pt 2.86-2.88, 4 Pd 2.87-2.90
U2 0.5000 0.0000 0.0000  8 Pt 2.86-2.88, 4 Pd 2.87-2.90
Pd1 0.0000 0.5000 0.0000  2 Pd 2.84, 8 Pt 2.85-2.86, 2 U 2.87
Pd2 0.2500 0.0000 0.3465  8 Pt 2.82-2.93, 2 Pd 2.87, 2 U 2.90
Pd3 0.2500 0.5000 0.3256  8 Pt 2.81-2.88, 4 Pd 2.84-2.87
Pd4 0.5000 0.5000 0.0000  2 Pd 2.84, 8 Pt 2.85-2.86, 2 U 2.87
Pd5 0.7500 0.0000 0.6535  8 Pt 2.82-2.93, 2 Pd 2.87, 2 U 2.90
Pd6 0.7500 0.5000 0.6744  8 Pt 2.81-2.88, 4 Pd 2.84-2.87
Pt1 0.0000 0.2507 0.5000  6 Pd 2.84-2.87, 4 Pt 2.86-2.88, 2 U 2.86
Pt2 0.0000 0.7493 0.5000  6 Pd 2.84-2.87, 4 Pt 2.86-2.88, 2 U 2.86
Pt3 0.2500 0.2551 0.8333  4 Pt 2.81-2.93, 6 Pd 2.81-2.93, 2 U 2.88
Pt4 0.2500 0.7449 0.8333  4 Pt 2.81-2.93, 6 Pd 2.81-2.93, 2 U 2.88
Pt5 0.5000 0.2507 0.5000  6 Pd 2.84-2.87, 4 Pt 2.86-2.88, 2 U 2.86
Pt6 0.5000 0.7493 0.5000  6 Pd 2.84-2.87, 4 Pt 2.86-2.88, 2 U 2.86
Pt7 0.7500 0.2551 0.1667  4 Pt 2.81-2.93, 6 Pd 2.81-2.93, 2 U 2.88
Pt8 0.7500 0.7449 0.1667  4 Pt 2.81-2.93, 6 Pd 2.81-2.93, 2 U 2.88

=====

[2]
Below is crystalline La4Nd3Y2 at its relaxed geometry, with properties calculated at the PBE level.

Computed properties:
Space group: P-1 (2)

a b c (Å): 6.3578 6.3735 9.7472
angles (deg): 71.27 71.37 60.11
With the nearest neighbours (Å) after each atom.
Sites, in units of the cell vectors:
La1 0.1652 0.1687 0.0002  5 La 3.66-3.70, 5 Nd 3.67-3.71, 2 Y 3.69-3.72
La2 0.2772 0.6115 0.6656  4 Y 3.65-3.69, 5 Nd 3.67-3.69, 3 La 3.68-3.70
La3 0.7228 0.3885 0.3344  4 Y 3.65-3.69, 5 Nd 3.67-3.69, 3 La 3.68-3.70
La4 0.8348 0.8313 0.9998  5 La 3.66-3.70, 5 Nd 3.67-3.71, 2 Y 3.69-3.72
Nd1 0.3899 0.0551 0.3343  2 Nd 3.65-3.71, 4 Y 3.67-3.69, 6 La 3.67-3.71
Nd2 0.5000 0.5000 0.0000  8 La 3.67-3.70, 2 Nd 3.71, 2 Y 3.71
Nd3 0.6101 0.9449 0.6657  2 Nd 3.65-3.71, 4 Y 3.67-3.69, 6 La 3.67-3.71
Y1 0.0549 0.7205 0.3353  6 La 3.65-3.72, 1 Y 3.66, 5 Nd 3.67-3.71
Y2 0.9451 0.2795 0.6647  6 La 3.65-3.72, 1 Y 3.66, 5 Nd 3.67-3.71

=====

[3]
Below is crystalline Cr2IrPt at its relaxed geometry, with properties calculated at the PBE level.

Computed properties:
Space group: I-42d (122)

a b c (Å): 5.4901 5.4901 10.6388
angles (deg): 90.00 90.00 90.00
With the nearest neighbours (Å) after each atom.
Sites, in units of the cell vectors:
Cr1 0.2421 0.2500 0.1250  2 Ir 2.33, 2 Pt 2.38
Cr2 0.2500 0.7421 0.3750  2 Ir 2.33, 2 Pt 2.38
Cr3 0.2500 0.7579 0.8750  2 Ir 2.33, 2 Pt 2.38
Cr4 0.2579 0.2500 0.6250  2 Ir 2.33, 2 Pt 2.38
Cr5 0.7421 0.7500 0.6250  2 Ir 2.33, 2 Pt 2.38
Cr6 0.7500 0.2421 0.8750  2 Ir 2.33, 2 Pt 2.38
Cr7 0.7500 0.2579 0.3750  2 Ir 2.33, 2 Pt 2.38
Cr8 0.7579 0.7500 0.1250  2 Ir 2.33, 2 Pt 2.38
Ir1 0.0000 0.0000 0.0000  4 Cr 2.33
Ir2 0.0000 0.5000 0.2500  4 Cr 2.33
Ir3 0.5000 0.0000 0.7500  4 Cr 2.33
Ir4 0.5000 0.5000 0.5000  4 Cr 2.33
Pt1 0.0000 0.0000 0.5000  4 Cr 2.38
Pt2 0.0000 0.5000 0.7500  4 Cr 2.38
Pt3 0.5000 0.0000 0.2500  4 Cr 2.38
Pt4 0.5000 0.5000 0.0000  4 Cr 2.38

=====

no.,calculated total energy (eV/cell),calculated formation energy (eV per formula unit)
1,-108.94,-3.443
2,-46.79,0.155
3,-123.24,3.338